Here is an optimized crystal structure of Sm6Ho3TmTh2 from the Alexandria database. Energies are from PBE.

Summary:
Space-group type = C2/m (12)
DOS(E_F) = 17.25 states/eV per cell
Energy of formation from the pure elements = 34 meV/atom

abc: 6.1990 6.1990 11.9128
angles: 94.99 94.99 119.94
Last column: nearest neighbours and their distance in Å.
Element x y z (fractional)
Sm 0.9172 0.5820 0.7518  2 Th 3.57, 6 Sm 3.57-3.60, 1 Tm 3.58, 3 Ho 3.60-3.61
Sm 0.7471 0.7471 0.2486  6 Sm 3.57-3.60, 2 Th 3.57, 1 Tm 3.58, 3 Ho 3.59-3.60
Sm 0.0828 0.4180 0.2482  2 Th 3.57, 6 Sm 3.57-3.60, 1 Tm 3.58, 3 Ho 3.60-3.61
Sm 0.5820 0.9172 0.7518  2 Th 3.57, 6 Sm 3.57-3.60, 1 Tm 3.58, 3 Ho 3.60-3.61
Sm 0.2529 0.2529 0.7514  6 Sm 3.57-3.60, 2 Th 3.57, 1 Tm 3.58, 3 Ho 3.59-3.60
Sm 0.4180 0.0828 0.2482  2 Th 3.57, 6 Sm 3.57-3.60, 1 Tm 3.58, 3 Ho 3.60-3.61
Ho 0.1666 0.8334 0.5000  6 Ho 3.58, 6 Sm 3.60-3.61
Ho 0.8334 0.1666 0.5000  6 Ho 3.58, 6 Sm 3.60-3.61
Ho 0.5000 0.5000 0.5000  6 Ho 3.58, 6 Sm 3.59-3.61
Tm 0.0000 0.0000 0.0000  6 Sm 3.58, 6 Th 3.58
Th 0.3336 0.6664 0.0000  6 Sm 3.57, 3 Th 3.57-3.58, 3 Tm 3.58
Th 0.6664 0.3336 0.0000  6 Sm 3.57, 3 Th 3.57-3.58, 3 Tm 3.58